No. 1
A plane-wave DFT calculation with PBE was carried out for a relaxed structure of Cs3La2PmSe6.

**Size of the total moment**: 0.000 μB per cell
**Symmetry**: No. 12
**Raw formation energy**: -172.25 kJ/mol of atoms

```
Cs3La2PmSe6
1.0
3.8602 -6.6866 0.0000
3.8602 6.6866 0.0000
-2.5735 0.0000 8.3904
Cs La Pm Se
3 2 1 6
direct
0.0000 0.0000 0.0000
0.3328 0.6672 0.0000
0.6672 0.3328 0.0000
0.1666 0.8334 0.5000
0.8334 0.1666 0.5000
0.5000 0.5000 0.5000
0.1085 0.4366 0.3098
0.2354 0.2354 0.6905
0.4366 0.1085 0.3098
0.5634 0.8915 0.6902
0.7646 0.7646 0.3095
0.8915 0.5634 0.6902
```

---

No. 2
A plane-wave DFT calculation with PBE was carried out for a relaxed structure of Cs3La2PmTe6.

**Size of the total moment**: 0.000 μB per cell
**Symmetry**: No. 12
**Raw formation energy**: -141.91 kJ/mol of atoms

```
Cs3La2PmTe6
1.0
4.0962 -7.0946 0.0000
4.0962 7.0946 0.0000
-2.7309 0.0000 8.9360
Cs La Pm Te
3 2 1 6
direct
0.0000 0.0000 0.0000
0.3321 0.6679 0.0000
0.6679 0.3321 0.0000
0.1665 0.8335 0.5000
0.8335 0.1665 0.5000
0.5000 0.5000 0.5000
0.1069 0.4351 0.3050
0.2372 0.2372 0.6956
0.4351 0.1069 0.3050
0.5649 0.8931 0.6950
0.7628 0.7628 0.3044
0.8931 0.5649 0.6950
```

---

No. 3
A plane-wave DFT calculation with PBE was carried out for a relaxed structure of CsLa3Pm2Te6.

**Size of the total moment**: 0.000 μB per cell
**Symmetry**: No. 12
**Raw formation energy**: -136.66 kJ/mol of atoms

```
CsLa3Pm2Te6
1.0
10.1012 -2.2890 0.0000
10.1012 2.2890 0.0000
-2.1027 0.0000 9.2312
Cs La Pm Te
1 3 2 6
direct
0.0000 0.0000 0.0000
0.0000 0.0000 0.5000
0.3394 0.3394 0.1755
0.6606 0.6606 0.8245
0.3279 0.3279 0.6514
0.6721 0.6721 0.3486
0.1663 0.1663 0.5820
0.1776 0.1776 0.0962
0.4926 0.4926 0.7238
0.5074 0.5074 0.2762
0.8224 0.8224 0.9038
0.8337 0.8337 0.4180
```

---

The records above give, respectively, calculated volume values of 36.10, 43.28, 35.57 Å³ per atom.
The records above give, respectively, calculated total energy values of -4.96, -4.47, -5.08 eV per atom.
The records above give, respectively, DOS(E_F) values of 0.0000, 0.0000, 0.4633 states/eV/atom.